Record 1
Computed, not measured: a geometry-optimized PaPdS3 structure at the GGA-PBE level of DFT.

Structure (extended XYZ):
```
20
Lattice="7.2778 0.0000 0.0000 0.0000 7.6496 0.0000 -2.6993 0.0000 8.1040" Properties=species:S:1:pos:R:3 pbc="T T T"
Pa 0.5099 0.9315 3.4034
Pa -0.8397 2.8933 7.4554
Pa 5.4182 4.7563 0.6486
Pa 4.0685 6.7181 4.7005
Pd -0.5193 5.3038 3.5565
Pd -1.8689 6.1706 7.6084
Pd 6.4474 1.4790 0.4955
Pd 5.0977 2.3458 4.5475
S -1.0804 0.5088 5.6847
S 0.2693 3.3160 1.6327
S 1.3720 0.5288 0.8355
S 0.0223 3.2960 4.8875
S 0.2197 5.2278 8.0808
S 1.5694 6.2467 4.0288
S 3.0090 1.4029 4.0752
S 4.3587 2.4219 0.0232
S 4.5561 4.3536 3.2165
S 3.2065 7.1208 7.2685
S 4.3091 4.3337 6.4713
S 5.6588 7.1408 2.4193
```

Summary:
distance to the lowest polymorph of the same formula	0	meV per atom
SG	P2_1/c
size of the total moment	0.00	μB per cell
VASP energy	-6.52	eV per atom


Record 2
Computed, not measured: a geometry-optimized PaPd2S4 structure at the GGA-PBE level of DFT.

Structure (extended XYZ):
```
14
Lattice="1.9159 -5.9537 0.0000 1.9159 5.9537 0.0000 0.0000 0.0000 11.6396" Properties=species:S:1:pos:R:3 pbc="T T T"
Pa 1.9159 4.5106 8.7297
Pa 1.9159 -4.5106 2.9099
Pd 1.9159 1.5408 6.6358
Pd 1.9159 1.5408 10.8237
Pd 1.9159 -1.5408 0.8159
Pd 1.9159 -1.5408 5.0039
S 0.0000 0.0000 0.0000
S 0.0000 0.0000 5.8198
S 1.9159 2.6056 1.3485
S 1.9159 2.6056 4.4713
S 1.9159 0.4654 8.7297
S 1.9159 -0.4654 2.9099
S 1.9159 -2.6056 7.1683
S 1.9159 -2.6056 10.2911
```

Summary:
distance to the lowest polymorph of the same formula	86	meV per atom
SG	Cmcm
size of the total moment	0.00	μB per cell
VASP energy	-5.99	eV per atom


Record 3
Computed, not measured: a geometry-optimized PaPd6S structure at the GGA-PBE level of DFT.

Structure (extended XYZ):
```
8
Lattice="3.8284 2.2103 2.9141 -3.8284 2.2103 2.9141 0.0000 -4.4207 2.9141" Properties=species:S:1:pos:R:3 pbc="T T T"
Pa 0.0000 0.0000 0.0000
Pd 0.0000 -1.6569 2.6813
Pd -1.4349 0.8285 2.6813
Pd -1.4349 -0.8285 6.0612
Pd 1.4349 0.8285 2.6813
Pd 1.4349 -0.8285 6.0612
Pd 0.0000 1.6569 6.0612
S 0.0000 0.0000 4.3712
```

Summary:
SG	R-3m
size of the total moment	0.00	μB per cell
VASP energy	-5.89	eV per atom


Formation energy from raw total energies per entry: -5.5; -5.6; -2.4 eV/f.u.